First-principles (PBE) data for an optimized crystal structure of Cr2SnGe2, as listed in the Alexandria database.

Lattice parameters (Å, degrees): 6.998 6.998 3.230 90.00 90.00 90.00
Positions (direct):
Cr1 0.145 0.355 0.000
Ge1 0.354 0.146 0.500
Ge2 0.646 0.854 0.500
Sn1 0.500 0.500 0.000
Sn2 0.000 0.000 0.000
Cr2 0.855 0.645 0.000
Ge3 0.854 0.354 0.500
Ge4 0.146 0.646 0.500
Cr3 0.645 0.145 0.000
Cr4 0.355 0.855 0.000

Output
Space group: P4/mbm (127)
Excess energy over the best structure of this formula in the dataset, eV per atom: 0.036

First-principles (PBE) data for an optimized crystal structure of FeMo, as listed in the Alexandria database.

Lattice parameters (Å, degrees): 4.508 2.606 9.357 90.00 106.53 90.00
Positions (direct):
Mo1 0.181 0.000 0.895
Fe1 0.653 0.000 0.346
Fe2 0.347 0.000 0.654
Mo2 0.819 0.500 0.605
Fe3 0.347 0.500 0.154
Mo3 0.181 0.500 0.395
Fe4 0.653 0.500 0.846
Mo4 0.819 0.000 0.105

Output
Space group: C2/m (12)

no.,energy relative to the elements (eV/atom)
1,0.269
2,0.174